A plane-wave DFT calculation with PBE was carried out for a relaxed ZnHgRu2 crystal.

```
data_ZnHgRu2
_symmetry_space_group_name_H-M 'P 1'
_symmetry_Int_Tables_number 1
_cell_length_a 2.856
_cell_length_b 2.856
_cell_length_c 7.876
_cell_angle_alpha 90.00
_cell_angle_beta 90.00
_cell_angle_gamma 90.00
loop_
_symmetry_equiv_pos_as_xyz
'x,y,z'
loop_
_atom_site_label
_atom_site_fract_x
_atom_site_fract_y
_atom_site_fract_z
Zn1 0.000 0.000 0.467
Hg1 0.500 0.500 0.759
Ru1 0.000 0.000 0.035
Ru2 0.500 0.500 0.239
```

Output
Energy of formation from the pure elements: 0.142 eV/atom
Total magnetization: 0.000 μB per atom
VASP energy: -4.890 eV/atom
Energy above the most stable polymorph in this dataset: 0 meV per atom
Space-group type: No. 99